# CsYSn PBE relaxed
# calculated formation energy = -0.276 eV per atom
# energy above the most stable polymorph in this dataset = 111.8 meV per atom
data_CsYSn
_chemical_formula_sum 'Cs4 Y4 Sn4'
_symmetry_space_group_name_H-M 'C 1 m 1'
_symmetry_Int_Tables_number 8
_symmetry_space_group_name_Hall 'C -2y'
_cell_length_a 9.0682
_cell_length_b 5.2360
_cell_length_c 12.6995
_cell_angle_alpha 90.00
_cell_angle_beta 90.13
_cell_angle_gamma 90.00
loop_
_atom_site_label
_atom_site_fract_x
_atom_site_fract_y
_atom_site_fract_z
Cs1 0.0000 0.0000 0.0000
Cs2 0.1688 0.5000 0.6496
Y1 0.0013 0.0000 0.3815
Y2 0.3341 0.0000 0.2299
Sn1 0.1675 0.5000 0.2259
Sn2 0.3349 0.0000 0.4675

# CsYSn PBE relaxed
# calculated formation energy = -0.287 eV per atom
# energy above the most stable polymorph in this dataset = 100.7 meV per atom
data_CsYSn
_chemical_formula_sum 'Cs4 Y4 Sn4'
_symmetry_space_group_name_H-M 'C 1 2/m 1'
_symmetry_Int_Tables_number 12
_symmetry_space_group_name_Hall '-C 2y'
_cell_length_a 18.7694
_cell_length_b 5.3939
_cell_length_c 5.3940
_cell_angle_alpha 90.00
_cell_angle_beta 106.65
_cell_angle_gamma 90.00
loop_
_atom_site_label
_atom_site_fract_x
_atom_site_fract_y
_atom_site_fract_z
Cs1 0.1848 0.0000 0.1841
Y1 0.0000 0.0000 0.5000
Y2 0.0000 0.5000 0.0000
Sn1 0.0912 0.5000 0.5914

# CsYSn3 PBE relaxed
# calculated formation energy = 0.023 eV per atom
# energy above the most stable polymorph in this dataset = 0.0 meV per atom
data_CsYSn3
_chemical_formula_sum 'Cs1 Y1 Sn3'
_symmetry_space_group_name_H-M 'P m -3 m'
_symmetry_Int_Tables_number 221
_symmetry_space_group_name_Hall '-P 4 2 3'
_cell_length_a 5.9237
_cell_length_b 5.9237
_cell_length_c 5.9237
_cell_angle_alpha 90.00
_cell_angle_beta 90.00
_cell_angle_gamma 90.00
loop_
_atom_site_label
_atom_site_fract_x
_atom_site_fract_y
_atom_site_fract_z
Cs1 0.0000 0.0000 0.0000
Y1 0.5000 0.5000 0.5000
Sn1 0.0000 0.5000 0.5000

# CsYSn PBE relaxed
# calculated formation energy = -0.260 eV per atom
# energy above the most stable polymorph in this dataset = 127.1 meV per atom
data_CsYSn
_chemical_formula_sum 'Cs4 Y4 Sn4'
_symmetry_space_group_name_H-M 'C 1 2/m 1'
_symmetry_Int_Tables_number 12
_symmetry_space_group_name_Hall '-C 2y'
_cell_length_a 9.0588
_cell_length_b 5.2315
_cell_length_c 13.3552
_cell_angle_alpha 90.00
_cell_angle_beta 103.23
_cell_angle_gamma 90.00
loop_
_atom_site_label
_atom_site_fract_x
_atom_site_fract_y
_atom_site_fract_z
Cs1 0.2287 0.0000 0.1900
Y1 0.1468 0.5000 0.4407
Sn1 0.0391 0.0000 0.6163

# CsZnSn PBE relaxed
# calculated formation energy = -0.066 eV per atom
# energy above the most stable polymorph in this dataset = 42.9 meV per atom
data_CsZnSn
_chemical_formula_sum 'Cs1 Zn1 Sn1'
_symmetry_space_group_name_H-M 'P -6 m 2'
_symmetry_Int_Tables_number 187
_symmetry_space_group_name_Hall 'P -6 2'
_cell_length_a 4.6481
_cell_length_b 4.6481
_cell_length_c 6.2580
_cell_angle_alpha 90.00
_cell_angle_beta 90.00
_cell_angle_gamma 120.00
loop_
_atom_site_label
_atom_site_fract_x
_atom_site_fract_y
_atom_site_fract_z
Cs1 0.0000 0.0000 0.0000
Zn1 0.6667 0.3333 0.5000
Sn1 0.3333 0.6667 0.5000

# CsZn3Sn PBE relaxed
# calculated formation energy = 1.034 eV per atom
# energy above the most stable polymorph in this dataset = 781.3 meV per atom
data_CsZn3Sn
_chemical_formula_sum 'Cs1 Zn3 Sn1'
_symmetry_space_group_name_H-M 'P m -3 m'
_symmetry_Int_Tables_number 221
_symmetry_space_group_name_Hall '-P 4 2 3'
_cell_length_a 6.6944
_cell_length_b 6.6944
_cell_length_c 6.6944
_cell_angle_alpha 90.00
_cell_angle_beta 90.00
_cell_angle_gamma 90.00
loop_
_atom_site_label
_atom_site_fract_x
_atom_site_fract_y
_atom_site_fract_z
Cs1 0.0000 0.0000 0.0000
Zn1 0.0000 0.0000 0.5000
Sn1 0.5000 0.5000 0.5000